First-principles (PBE) data for a relaxed structure of TlCrW2, as listed in the Alexandria database.

Unit cell a=3.903 b=3.903 c=4.393 alpha=90.00 beta=90.00 gamma=90.00
Positions (direct):
Tl 0.000 0.000 0.000
Cr 0.500 0.500 0.000
W 0.000 0.500 0.500
W 0.500 0.000 0.500

Computed properties:
**Space-group type**: P4/mmm, No. 123
**Energy above the lowest structure with this stoichiometry**: 176 meV per atom
**Formation enthalpy at 0 K**: 3.13 eV per formula unit